First-principles (PBE) data for a geometry-optimized Dy2Al5Cu5 structure, as listed in Alexandria via LeMat-Bulk.

It has space group Pmmm (No. 47), with a = 4.122 Å, b = 5.279 Å, c = 9.008 Å, α = 90.00°, β = 90.00° and γ = 90.00°. The asymmetric unit holds Dy at (0.000, 0.000, 0.000), Dy at (0.000, 0.500, 0.500), Al at (0.500, 0.000, 0.500), Al at (0.500, 0.251, 0.239), Cu at (0.000, 0.000, 0.333), Cu at (0.000, 0.500, 0.166) and Cu at (0.500, 0.500, 0.000).

As for the density of states at the Fermi level: 2.898 states/eV/cell. For the formation energy, the calculation gives -5.3 eV/f.u.


First-principles (PBE) data for a geometry-optimized Ba2LaNb5O15 structure, as listed in Alexandria via LeMat-Bulk.

It has space group P4/mbm (No. 127), with a = 12.751 Å, b = 12.751 Å, c = 4.045 Å, α = 90.00°, β = 90.00° and γ = 90.00°. The asymmetric unit holds Ba at (0.166, 0.334, 0.000), La at (0.000, 0.000, 0.000), Nb at (0.000, 0.500, 0.500), Nb at (0.079, 0.789, 0.500), O at (0.000, 0.500, 0.000), O at (0.007, 0.341, 0.500), O at (0.062, 0.132, 0.500), O at (0.078, 0.801, 0.000) and O at (0.224, 0.724, 0.500).

As for the density of states at the Fermi level: 12.547 states/eV/cell. For the formation energy from raw total energies, the calculation gives -2.803 eV/atom.


First-principles (PBE) data for a geometry-optimized Zr2InW structure, as listed in Alexandria via LeMat-Bulk.

It has space group C2/m (No. 12), with a = 10.007 Å, b = 2.969 Å, c = 5.574 Å, α = 90.00°, β = 95.06° and γ = 90.00°. The asymmetric unit holds Zr at (0.245, 0.000, 0.259), In at (0.000, 0.500, 0.000) and W at (0.000, 0.000, 0.500).

As for the density of states at the Fermi level: 6.384 states/eV/cell. For the formation energy, the calculation gives 0.8 eV/f.u.


First-principles (PBE) data for a geometry-optimized PrAl2ZnPt4 structure, as listed in Alexandria via LeMat-Bulk.

It has space group R-3m (No. 166, hexagonal axes), with a = 4.2848 Å, b = 4.2848 Å, c = 26.8304 Å, α = 90.00°, β = 90.00° and γ = 120.00°. The asymmetric unit holds Pr at (0.0000, 0.0000, 0.0000), Al at (0.0000, 0.0000, 0.2375), Zn at (0.0000, 0.0000, 0.5000), Pt at (0.0000, 0.0000, 0.1340) and Pt at (0.0000, 0.0000, 0.4043).

As for the density of states at the Fermi level: 9.303 states/eV/cell. For the formation energy, the calculation gives -7.6 eV/f.u.


First-principles (PBE) data for a geometry-optimized KCo3Te structure, as listed in Alexandria via LeMat-Bulk.

It has space group Pm-3m (No. 221), with a = 4.830 Å, b = 4.830 Å, c = 4.830 Å, α = 90.00°, β = 90.00° and γ = 90.00°. The asymmetric unit holds K at (0.000, 0.000, 0.000), Co at (0.000, 0.500, 0.500) and Te at (0.500, 0.500, 0.500).

As for the density of states at the Fermi level: 12.280 states/eV/cell. For the formation energy from raw total energies, the calculation gives 0.898 eV/atom.


First-principles (PBE) data for a geometry-optimized Ca2MnOs structure, as listed in Alexandria via LeMat-Bulk.

It has space group I-42d (No. 122), with a = 8.040 Å, b = 8.040 Å, c = 5.659 Å, α = 90.00°, β = 90.00° and γ = 90.00°. The asymmetric unit holds Ca at (0.225, 0.250, 0.125), Mn at (0.000, 0.000, 0.500) and Os at (0.000, 0.000, 0.000).

As for the density of states at the Fermi level: 8.011 states/eV/cell. For the formation energy, the calculation gives 3.5 eV/f.u.


> Which formula does entry 5 have?

KCo3Te